(1)
Computed, not measured: crystalline RbAuBr2 at its relaxed geometry at the PBE-GGA level of DFT.

Calculated total energy: -2.841 eV/atom
D(E_F): 0.000 states/eV per atom
Formation energy without anion corrections: -0.94 eV/atom
Size of the total moment: 0.00 μB per cell
Relative energy among the computed polymorphs: 0.001 eV/atom

a = 7.911 Å, b = 7.911 Å, c = 8.992 Å
α = 90.00°, β = 90.00°, γ = 120.00°
Atoms (fractional coordinates):
Rb 0.362 0.362 0.000
Rb 0.000 0.638 0.667
Rb 0.638 0.000 0.333
Au 0.250 0.250 0.500
Au 0.000 0.750 0.167
Au 0.750 0.000 0.833
Br 0.899 0.310 0.963
Br 0.411 0.101 0.630
Br 0.690 0.589 0.297
Br 0.310 0.899 0.037
Br 0.101 0.411 0.370
Br 0.589 0.690 0.703


(2)
Computed, not measured: crystalline Hf2Ni6Sn at its relaxed geometry at the PBE-GGA level of DFT.

Calculated total energy: -6.844 eV/atom
D(E_F): 0.657 states/eV per atom
Size of the total moment: 0.00 μB per cell
DFT formation energy: -0.3335 eV/atom

a = 5.649 Å, b = 5.145 Å, c = 5.145 Å
α = 120.00°, β = 90.00°, γ = 90.00°
Atoms (fractional coordinates):
Hf 0.313 0.667 0.333
Hf 0.687 0.333 0.667
Ni 0.839 0.821 0.642
Ni 0.839 0.821 0.179
Ni 0.161 0.642 0.821
Ni 0.839 0.358 0.179
Ni 0.161 0.179 0.821
Ni 0.161 0.179 0.358
Sn 0.500 0.000 0.000


(3)
Computed, not measured: crystalline Tl15Bi2Sb2 at its relaxed geometry at the PBE-GGA level of DFT.

Calculated total energy: -2.630 eV/atom
D(E_F): 0.509 states/eV per atom
Formation energy without anion corrections: 0.08 eV/atom
Size of the total moment: 0.00 μB per cell

a = 8.901 Å, b = 8.901 Å, c = 8.901 Å
α = 80.32°, β = 80.32°, γ = 80.32°
Atoms (fractional coordinates):
Tl 0.000 0.500 0.000
Tl 0.000 0.000 0.500
Tl 0.500 0.000 0.000
Tl 0.308 0.000 0.692
Tl 0.692 0.308 0.000
Tl 0.000 0.692 0.308
Tl 0.308 0.692 0.000
Tl 0.000 0.308 0.692
Tl 0.692 0.000 0.308
Tl 0.341 0.856 0.341
Tl 0.341 0.341 0.856
Tl 0.856 0.341 0.341
Tl 0.659 0.144 0.659
Tl 0.659 0.659 0.144
Tl 0.144 0.659 0.659
Bi 0.904 0.904 0.904
Bi 0.096 0.096 0.096
Sb 0.738 0.738 0.738
Sb 0.262 0.262 0.262


Repeat the first record exactly.
Computed, not measured: crystalline RbAuBr2 at its relaxed geometry at the PBE-GGA level of DFT.

Calculated total energy: -2.841 eV/atom
D(E_F): 0.000 states/eV per atom
Formation energy without anion corrections: -0.94 eV/atom
Size of the total moment: 0.00 μB per cell
Relative energy among the computed polymorphs: 0.001 eV/atom

a = 7.911 Å, b = 7.911 Å, c = 8.992 Å
α = 90.00°, β = 90.00°, γ = 120.00°
Atoms (fractional coordinates):
Rb 0.362 0.362 0.000
Rb 0.000 0.638 0.667
Rb 0.638 0.000 0.333
Au 0.250 0.250 0.500
Au 0.000 0.750 0.167
Au 0.750 0.000 0.833
Br 0.899 0.310 0.963
Br 0.411 0.101 0.630
Br 0.690 0.589 0.297
Br 0.310 0.899 0.037
Br 0.101 0.411 0.370
Br 0.589 0.690 0.703


Question: The highest calculated total energy belongs to which entry?
Answer: Tl15Bi2Sb2